# 1
The following is a DFT calculation (GGA-PBE) of a geometry-optimized SrH3Pd structure.

Calculated values
Space-group type: P6_3/mmc, No. 194
Density of states at the Fermi level (states/eV/f.u.): 1.4
Final energy (eV/atom): -3.68

a = 3.925 Å, b = 3.925 Å, c = 10.056 Å
α = 90.00°, β = 90.00°, γ = 120.00°
Sites, in units of the cell vectors:
1 Sr 0.000 0.000 0.000
2 Sr 0.000 0.000 0.500
3 H 0.000 0.000 0.250
4 H 0.000 0.000 0.750
5 H 0.333 0.667 0.082
6 H 0.333 0.667 0.418
7 H 0.667 0.333 0.582
8 H 0.667 0.333 0.918
9 Pd 0.333 0.667 0.250
10 Pd 0.667 0.333 0.750



# 2
The following is a DFT calculation (GGA-PBE) of a geometry-optimized SrH3Pd structure.

Calculated values
Space-group type: Pm-3m, No. 221
Density of states at the Fermi level (states/eV/f.u.): 5.5
Final energy (eV/atom): -2.77

a = 4.358 Å, b = 4.358 Å, c = 4.358 Å
α = 90.00°, β = 90.00°, γ = 90.00°
Sites, in units of the cell vectors:
1 Sr 0.000 0.000 0.000
2 H 0.000 0.000 0.500
3 H 0.000 0.500 0.000
4 H 0.500 0.000 0.000
5 Pd 0.500 0.500 0.500



# 3
The following is a DFT calculation (GGA-PBE) of a geometry-optimized SrH6Pd structure.

Calculated values
Space-group type: R-3m, No. 166
Density of states at the Fermi level (states/eV/f.u.): 0.0
Final energy (eV/atom): -3.63

a = 4.915 Å, b = 4.915 Å, c = 4.915 Å
α = 58.33°, β = 58.33°, γ = 58.33°
Sites, in units of the cell vectors:
1 Sr 0.000 0.000 0.000
2 H 0.097 0.590 0.590
3 H 0.410 0.410 0.903
4 H 0.410 0.903 0.410
5 H 0.590 0.097 0.590
6 H 0.590 0.590 0.097
7 H 0.903 0.410 0.410
8 Pd 0.500 0.500 0.500



# 4
The following is a DFT calculation (GGA-PBE) of a geometry-optimized Sr2H8Pd structure.

Calculated values
Space-group type: C2/m, No. 12
Final energy (eV/atom): -3.47

a = 6.963 Å, b = 6.963 Å, c = 4.690 Å
α = 108.05°, β = 108.05°, γ = 36.43°
Sites, in units of the cell vectors:
1 Sr 0.164 0.164 0.181
2 Sr 0.836 0.836 0.819
3 H 0.029 0.029 0.559
4 H 0.236 0.236 0.750
5 H 0.385 0.385 0.579
6 H 0.425 0.425 0.139
7 H 0.575 0.575 0.861
8 H 0.615 0.615 0.421
9 H 0.764 0.764 0.250
10 H 0.971 0.971 0.441
11 Pd 0.500 0.500 0.500



# 5
The following is a DFT calculation (GGA-PBE) of a geometry-optimized SrHPd structure.

Calculated values
Space-group type: P-6m2, No. 187
Density of states at the Fermi level (states/eV/f.u.): 0.9
Energy above the lowest structure with this stoichiometry (kJ/mol of atoms): 29.2

a = 3.928 Å, b = 3.928 Å, c = 4.157 Å
α = 90.00°, β = 90.00°, γ = 120.00°
Sites, in units of the cell vectors:
1 Sr 0.000 0.000 0.000
2 H 0.333 0.667 0.500
3 Pd 0.667 0.333 0.500



# 6
The following is a DFT calculation (GGA-PBE) of a geometry-optimized SrH2Pd2 structure.

Calculated values
Space-group type: P4/mbm, No. 127
Density of states at the Fermi level (states/eV/f.u.): 1.5
Energy above the lowest structure with this stoichiometry (kJ/mol of atoms): 15.9

a = 6.579 Å, b = 6.579 Å, c = 3.618 Å
α = 90.00°, β = 90.00°, γ = 90.00°
Sites, in units of the cell vectors:
1 Sr 0.000 0.000 0.000
2 Sr 0.500 0.500 0.000
3 H 0.143 0.357 0.000
4 H 0.357 0.857 0.000
5 H 0.643 0.143 0.000
6 H 0.857 0.643 0.000
7 Pd 0.145 0.355 0.500
8 Pd 0.355 0.855 0.500
9 Pd 0.645 0.145 0.500
10 Pd 0.855 0.645 0.500



# 7
The following is a DFT calculation (GGA-PBE) of a geometry-optimized SrH2Pd2 structure.

Calculated values
Space-group type: C2/c, No. 15
Density of states at the Fermi level (states/eV/f.u.): 0.2
Energy above the lowest structure with this stoichiometry (kJ/mol of atoms): 0.0

a = 5.820 Å, b = 5.820 Å, c = 5.556 Å
α = 104.31°, β = 104.31°, γ = 121.76°
Sites, in units of the cell vectors:
1 Sr 0.126 0.874 0.750
2 Sr 0.874 0.126 0.250
3 H 0.208 0.792 0.250
4 H 0.462 0.538 0.750
5 H 0.538 0.462 0.250
6 H 0.792 0.208 0.750
7 Pd 0.220 0.468 0.940
8 Pd 0.468 0.220 0.440
9 Pd 0.532 0.780 0.560
10 Pd 0.780 0.532 0.060



# 8
The following is a DFT calculation (GGA-PBE) of a geometry-optimized SrH2Pd structure.

Calculated values
Space-group type: Fm-3m, No. 225
Density of states at the Fermi level (states/eV/f.u.): 2.4
Energy above the lowest structure with this stoichiometry (kJ/mol of atoms): 55.7

a = 4.330 Å, b = 4.330 Å, c = 4.330 Å
α = 60.00°, β = 60.00°, γ = 60.00°
Sites, in units of the cell vectors:
1 Sr 0.000 0.000 0.000
2 H 0.250 0.250 0.250
3 H 0.750 0.750 0.750
4 Pd 0.500 0.500 0.500



# 9
The following is a DFT calculation (GGA-PBE) of a geometry-optimized SrH2Pd structure.

Calculated values
Space-group type: P4/mmm, No. 123
Density of states at the Fermi level (states/eV/f.u.): 0.9
Energy above the lowest structure with this stoichiometry (kJ/mol of atoms): 0.0

a = 3.825 Å, b = 3.825 Å, c = 3.743 Å
α = 90.00°, β = 90.00°, γ = 90.00°
Sites, in units of the cell vectors:
1 Sr 0.000 0.000 0.000
2 H 0.000 0.500 0.500
3 H 0.500 0.000 0.500
4 Pd 0.500 0.500 0.500



# 10
The following is a DFT calculation (GGA-PBE) of a geometry-optimized SrH3Pd structure.

Calculated values
Space-group type: C2/c, No. 15
Density of states at the Fermi level (states/eV/f.u.): 0.0
Final energy (eV/atom): -3.85

a = 6.523 Å, b = 6.523 Å, c = 6.789 Å
α = 102.40°, β = 102.40°, γ = 104.58°
Sites, in units of the cell vectors:
1 Sr 0.087 0.913 0.750
2 Sr 0.335 0.665 0.250
3 Sr 0.665 0.335 0.750
4 Sr 0.913 0.087 0.250
5 H 0.024 0.787 0.365
6 H 0.087 0.578 0.877
7 H 0.213 0.976 0.135
8 H 0.304 0.353 0.513
9 H 0.353 0.304 0.013
10 H 0.422 0.913 0.623
11 H 0.578 0.087 0.377
12 H 0.647 0.696 0.987
13 H 0.696 0.647 0.487
14 H 0.787 0.024 0.865
15 H 0.913 0.422 0.123
16 H 0.976 0.213 0.635
17 Pd 0.191 0.450 0.698
18 Pd 0.450 0.191 0.198
19 Pd 0.550 0.809 0.802
20 Pd 0.809 0.550 0.302



# 11
The following is a DFT calculation (GGA-PBE) of a geometry-optimized SrH2Pd structure.

Calculated values
Space-group type: I-42d, No. 122
Density of states at the Fermi level (states/eV/f.u.): 0.0
Energy above the lowest structure with this stoichiometry (kJ/mol of atoms): 11.8

a = 5.281 Å, b = 5.281 Å, c = 5.281 Å
α = 116.89°, β = 116.89°, γ = 95.48°
Sites, in units of the cell vectors:
1 Sr 0.000 0.000 0.000
2 Sr 0.750 0.250 0.500
3 H 0.239 0.625 0.114
4 H 0.375 0.489 0.614
5 H 0.511 0.125 0.886
6 H 0.875 0.761 0.386
7 Pd 0.250 0.750 0.500
8 Pd 0.500 0.500 0.000



# 12
The following is a DFT calculation (GGA-PBE) of a geometry-optimized Sr2H4Pd structure.

Calculated values
Space-group type: P2_1/m, No. 11
Density of states at the Fermi level (states/eV/f.u.): 0.0
Energy above the lowest structure with this stoichiometry (kJ/mol of atoms): 3.8

a = 5.540 Å, b = 5.372 Å, c = 7.729 Å
α = 90.00°, β = 104.87°, γ = 90.00°
Sites, in units of the cell vectors:
1 Sr 0.235 0.250 0.437
2 Sr 0.260 0.250 0.964
3 Sr 0.740 0.750 0.036
4 Sr 0.765 0.750 0.563
5 H 0.082 0.750 0.355
6 H 0.191 0.750 0.986
7 H 0.483 0.505 0.729
8 H 0.483 0.995 0.729
9 H 0.517 0.005 0.271
10 H 0.517 0.495 0.271
11 H 0.809 0.250 0.014
12 H 0.918 0.250 0.645
13 Pd 0.307 0.750 0.226
14 Pd 0.693 0.250 0.774



# 13
The following is a DFT calculation (GGA-PBE) of a geometry-optimized SrH3Pd structure.

Calculated values
Space-group type: I-4m2, No. 119
Density of states at the Fermi level (states/eV/f.u.): 0.9
Final energy (eV/atom): -3.60

a = 9.239 Å, b = 9.239 Å, c = 9.239 Å
α = 155.64°, β = 155.64°, γ = 34.72°
Sites, in units of the cell vectors:
1 Sr 0.107 0.107 0.000
2 Sr 0.893 0.893 0.000
3 H 0.002 0.502 0.500
4 H 0.109 0.323 0.786
5 H 0.498 0.998 0.500
6 H 0.537 0.323 0.214
7 H 0.677 0.463 0.786
8 H 0.677 0.891 0.214
9 Pd 0.500 0.500 0.000
10 Pd 0.750 0.250 0.500



# 14
The following is a DFT calculation (GGA-PBE) of a geometry-optimized SrH2Pd3 structure.

Calculated values
Space-group type: C2/m, No. 12
Density of states at the Fermi level (states/eV/f.u.): 1.7
Final energy (eV/atom): -4.27

a = 6.962 Å, b = 6.962 Å, c = 7.541 Å
α = 109.67°, β = 109.67°, γ = 30.46°
Sites, in units of the cell vectors:
1 Sr 0.136 0.136 0.020
2 Sr 0.864 0.864 0.980
3 H 0.165 0.165 0.695
4 H 0.486 0.486 0.714
5 H 0.514 0.514 0.286
6 H 0.835 0.835 0.305
7 Pd 0.052 0.052 0.347
8 Pd 0.284 0.284 0.649
9 Pd 0.383 0.383 0.338
10 Pd 0.617 0.617 0.662
11 Pd 0.716 0.716 0.351
12 Pd 0.948 0.948 0.653



# 15
The following is a DFT calculation (GGA-PBE) of a geometry-optimized Sr2HPd4 structure.

Calculated values
Space-group type: I4/mmm, No. 139
Density of states at the Fermi level (states/eV/f.u.): 3.1
Final energy (eV/atom): -4.34

a = 7.981 Å, b = 7.981 Å, c = 7.981 Å
α = 148.16°, β = 148.16°, γ = 45.65°
Sites, in units of the cell vectors:
1 Sr 0.154 0.154 0.000
2 Sr 0.846 0.846 0.000
3 H 0.500 0.500 0.000
4 Pd 0.000 0.500 0.500
5 Pd 0.376 0.376 0.000
6 Pd 0.500 0.000 0.500
7 Pd 0.624 0.624 0.000



# 16
The following is a DFT calculation (GGA-PBE) of a geometry-optimized Sr5H12Pd2 structure.

Calculated values
Space-group type: C2/m, No. 12
Density of states at the Fermi level (states/eV/f.u.): 4.5
Final energy (eV/atom): -3.47

a = 7.033 Å, b = 7.033 Å, c = 7.751 Å
α = 105.96°, β = 105.96°, γ = 52.39°
Sites, in units of the cell vectors:
1 Sr 0.000 0.000 0.000
2 Sr 0.298 0.298 0.646
3 Sr 0.323 0.323 0.160
4 Sr 0.677 0.677 0.840
5 Sr 0.702 0.702 0.354
6 H 0.002 0.002 0.366
7 H 0.094 0.594 0.923
8 H 0.116 0.563 0.418
9 H 0.406 0.906 0.077
10 H 0.437 0.884 0.582
11 H 0.492 0.492 0.635
12 H 0.508 0.508 0.365
13 H 0.563 0.116 0.418
14 H 0.594 0.094 0.923
15 H 0.884 0.437 0.582
16 H 0.906 0.406 0.077
17 H 0.998 0.998 0.634
18 Pd 0.244 0.756 0.500
19 Pd 0.756 0.244 0.500



# 17
The following is a DFT calculation (GGA-PBE) of a geometry-optimized SrH3Pd structure.

Calculated values
Space-group type: Amm2, No. 38
Density of states at the Fermi level (states/eV/f.u.): 0.4
Final energy (eV/atom): -3.49

a = 3.156 Å, b = 5.778 Å, c = 5.778 Å
α = 48.44°, β = 90.00°, γ = 90.00°
Sites, in units of the cell vectors:
1 Sr 0.000 0.000 0.000
2 H 0.000 0.486 0.885
3 H 0.000 0.885 0.486
4 H 0.500 0.853 0.853
5 Pd 0.500 0.682 0.682



# 18
The following is a DFT calculation (GGA-PBE) of a geometry-optimized SrH3Pd structure.

Calculated values
Space-group type: I-4m2, No. 119
Density of states at the Fermi level (states/eV/f.u.): 0.7
Final energy (eV/atom): -3.48

a = 8.670 Å, b = 8.670 Å, c = 8.670 Å
α = 152.82°, β = 152.82°, γ = 38.82°
Sites, in units of the cell vectors:
1 Sr 0.000 0.000 0.000
2 Sr 0.750 0.250 0.500
3 H 0.344 0.344 0.000
4 H 0.507 0.103 0.403
5 H 0.656 0.656 0.000
6 H 0.700 0.103 0.597
7 H 0.897 0.300 0.403
8 H 0.897 0.493 0.597
9 Pd 0.154 0.654 0.500
10 Pd 0.346 0.846 0.500



# 19
The following is a DFT calculation (GGA-PBE) of a geometry-optimized SrH3Pd structure.

Calculated values
Space-group type: C2/m, No. 12
Density of states at the Fermi level (states/eV/f.u.): 0.4
Final energy (eV/atom): -3.63

a = 6.367 Å, b = 6.367 Å, c = 6.444 Å
α = 107.44°, β = 107.44°, γ = 32.15°
Sites, in units of the cell vectors:
1 Sr 0.122 0.122 0.279
2 Sr 0.878 0.878 0.721
3 H 0.027 0.027 0.553
4 H 0.123 0.123 0.884
5 H 0.333 0.333 0.437
6 H 0.667 0.667 0.563
7 H 0.877 0.877 0.116
8 H 0.973 0.973 0.447
9 Pd 0.346 0.346 0.133
10 Pd 0.654 0.654 0.867



# 20
The following is a DFT calculation (GGA-PBE) of a geometry-optimized SrH3Pd structure.

Calculated values
Space-group type: P2_1/c, No. 14
Density of states at the Fermi level (states/eV/f.u.): 0.0
Final energy (eV/atom): -3.84

a = 5.382 Å, b = 5.141 Å, c = 10.871 Å
α = 90.00°, β = 115.35°, γ = 90.00°
Sites, in units of the cell vectors:
1 Sr 0.199 0.250 0.146
2 Sr 0.199 0.250 0.646
3 Sr 0.801 0.750 0.354
4 Sr 0.801 0.750 0.854
5 H 0.203 0.732 0.108
6 H 0.203 0.768 0.608
7 H 0.284 0.043 0.956
8 H 0.284 0.457 0.456
9 H 0.341 0.518 0.880
10 H 0.341 0.982 0.380
11 H 0.659 0.018 0.620
12 H 0.659 0.482 0.120
13 H 0.716 0.543 0.544
14 H 0.716 0.957 0.044
15 H 0.797 0.232 0.392
16 H 0.797 0.268 0.892
17 Pd 0.443 0.749 0.540
18 Pd 0.443 0.751 0.040
19 Pd 0.557 0.249 0.960
20 Pd 0.557 0.251 0.460